Density functional theory data (GGA+U) for a geometry-optimized Ba3MoO structure.

a = 5.6233 Å, b = 5.6233 Å, c = 5.6233 Å
α = 90.00°, β = 90.00°, γ = 90.00°
With the nearest neighbours (Å) after each atom.
Positions (direct):
O 0.0000 0.0000 0.0000  6 Ba 2.81
Ba 0.5000 0.0000 0.0000  2 O 2.81
Ba 0.0000 0.0000 0.5000  2 O 2.81
Ba 0.0000 0.5000 0.0000  2 O 2.81
Mo 0.5000 0.5000 0.5000  12 Ba 3.98

Properties
distance to the lowest polymorph of the same formula: 0.000 eV/atom
size of the total moment: 4.59 μB per cell
final energy: -20.59 eV per formula unit